Entry 1:
Sm2Zn3Ag2: optimized geometry, GGA-PBE.

Properties
SG ... C2/m
Crystal system ... monoclinic
Formation enthalpy at 0 K ... -2.07 eV per formula unit
Theoretical density ... 8.071 g cm⁻³
N(E_F) ... 0.63 states/eV per atom
Energy ... -21.03 eV per formula unit

a b c (Å): 4.6286 5.5904 6.7319
angles (deg): 110.28 90.00 114.45
Element x y z (fractional)
Sm  0.1530  0.3060  0.7614
Sm  0.8470  0.6940  0.2386
Zn  0.5000  0.0000  0.0000
Zn  0.4041  0.8083  0.5811
Zn  0.5959  0.1917  0.4189
Ag  0.1432  0.2864  0.2291
Ag  0.8568  0.7136  0.7709

Entry 2:
Sm3Zn4Ag4: optimized geometry, GGA-PBE.

Properties
SG ... Immm
Crystal system ... orthorhombic
Formation enthalpy at 0 K ... -2.93 eV per formula unit
Theoretical density ... 8.118 g cm⁻³
N(E_F) ... 0.74 states/eV per atom
Energy ... -33.59 eV per formula unit

a b c (Å): 4.2773 7.5724 8.4338
angles (deg): 116.67 104.69 90.00
Element x y z (fractional)
Zn  0.5000  0.8216  0.0000
Zn  0.5000  0.1784  0.0000
Zn  0.7784  0.2784  0.5568
Zn  0.2216  0.7216  0.4432
Sm  0.0000  0.5000  0.0000
Sm  0.8751  0.8751  0.7502
Sm  0.1249  0.1249  0.2498
Ag  0.3292  0.1363  0.6584
Ag  0.6708  0.8637  0.3416
Ag  0.6708  0.4779  0.3416
Ag  0.3292  0.5221  0.6584

Entry 3:
SmZn2Ag10: optimized geometry, GGA-PBE.

Properties
SG ... Fmmm
Crystal system ... orthorhombic
Formation enthalpy at 0 K ... -1.04 eV per formula unit
Theoretical density ... 9.243 g cm⁻³
N(E_F) ... 0.34 states/eV per atom
Energy ... -36.82 eV per formula unit

a b c (Å): 5.4089 7.2376 7.2509
angles (deg): 81.99 68.10 68.06
Element x y z (fractional)
Ag  0.0069  0.6448  0.3414
Ag  0.6517  0.3552  0.3414
Ag  0.5059  0.7782  0.2101
Ag  0.3483  0.6448  0.6586
Ag  0.9931  0.3552  0.6586
Ag  0.7160  0.7782  0.7899
Ag  0.5000  0.0000  0.5000
Ag  0.4941  0.2218  0.7899
Ag  0.0000  0.0000  0.5000
Ag  0.2840  0.2218  0.2101
Sm  0.0000  0.0000  0.0000
Zn  0.0000  0.5000  0.0000
Zn  0.5000  0.5000  0.0000

Entry 4:
SmZnAg: optimized geometry, GGA-PBE.

Properties
SG ... P-6m2
Crystal system ... hexagonal
Formation enthalpy at 0 K ... -0.96 eV per formula unit
Theoretical density ... 8.152 g cm⁻³
N(E_F) ... 0.53 states/eV per atom
Energy ... -9.80 eV per formula unit

a b c (Å): 3.4409 4.7034 4.7034
angles (deg): 120.00 90.00 90.00
Element x y z (fractional)
Sm  0.6667  0.6667  0.3333
Ag  0.1670  0.0000  0.0000
Zn  0.1663  0.3333  0.6667

Entry 5:
Sm4Zn3Ag: optimized geometry, GGA-PBE.

Properties
SG ... P4/mmm
Crystal system ... tetragonal
Formation enthalpy at 0 K ... -2.51 eV per formula unit
Theoretical density ... 7.680 g cm⁻³
N(E_F) ... 1.10 states/eV per atom
Energy ... -28.05 eV per formula unit
Excess energy over the best structure of this formula in the dataset ... 0.00 eV/f.u.

a b c (Å): 3.6693 3.6693 14.5416
angles (deg): 90.00 90.00 90.00
Element x y z (fractional)
Sm  0.0000  0.0000  0.1315
Sm  0.0000  0.0000  0.8685
Sm  0.0000  0.0000  0.3764
Sm  0.0000  0.0000  0.6236
Ag  0.5000  0.5000  0.0000
Zn  0.5000  0.5000  0.5000
Zn  0.5000  0.5000  0.7455
Zn  0.5000  0.5000  0.2545

Entry 6:
Sm3Zn2Ag9: optimized geometry, GGA-PBE.

Properties
SG ... Immm
Crystal system ... orthorhombic
Formation enthalpy at 0 K ... -2.60 eV per formula unit
Theoretical density ... 8.715 g cm⁻³
N(E_F) ... 0.58 states/eV per atom
Energy ... -44.96 eV per formula unit

a b c (Å): 4.5710 8.4724 8.4724
angles (deg): 73.20 74.35 74.35
Element x y z (fractional)
Sm  0.7011  0.2989  0.2989
Sm  0.0000  0.0000  0.0000
Sm  0.2989  0.7011  0.7011
Ag  0.1291  0.1534  0.5884
Ag  0.6570  0.9778  0.7081
Ag  0.1291  0.5884  0.1534
Ag  0.8709  0.8466  0.4116
Ag  0.0000  0.5000  0.5000
Ag  0.3430  0.2919  0.0222
Ag  0.8709  0.4116  0.8466
Ag  0.6570  0.7081  0.9778
Ag  0.3430  0.0222  0.2919
Zn  0.5000  0.3154  0.6846
Zn  0.5000  0.6846  0.3154

Entry 7:
SmZnAg3: optimized geometry, GGA-PBE.

Properties
SG ... P1
Crystal system ... triclinic
Formation enthalpy at 0 K ... -0.83 eV per formula unit
Theoretical density ... 8.527 g cm⁻³
N(E_F) ... 0.49 states/eV per atom
Energy ... -15.38 eV per formula unit
Excess energy over the best structure of this formula in the dataset ... 0.26 eV/f.u.

a b c (Å): 3.8753 4.4094 6.8091
angles (deg): 71.14 73.54 90.07
Element x y z (fractional)
Ag  0.8004  0.6041  0.1028
Ag  0.6589  0.9619  0.3875
Ag  0.1305  0.4343  0.4442
Zn  0.0117  0.8151  0.6839
Sm  0.4064  0.2098  0.8927

Entry 8:
Sm3Zn8Ag: optimized geometry, GGA-PBE.

Properties
SG ... R3m
Crystal system ... trigonal
Formation enthalpy at 0 K ... -3.34 eV per formula unit
Theoretical density ... 7.818 g cm⁻³
N(E_F) ... 0.37 states/eV per atom
Energy ... -30.54 eV per formula unit

a b c (Å): 5.4453 5.4453 9.4880
angles (deg): 73.32 73.32 60.00
Element x y z (fractional)
Zn  0.4369  0.9391  0.6849
Zn  0.6876  0.6876  0.9373
Zn  0.9391  0.4369  0.6849
Zn  0.9391  0.9391  0.6849
Zn  0.1883  0.1883  0.4352
Zn  0.4384  0.4384  0.1880
Zn  0.9353  0.4384  0.1880
Zn  0.4384  0.9353  0.1880
Sm  0.3775  0.3775  0.8676
Sm  0.9934  0.9934  0.0198
Sm  0.5041  0.5041  0.4878
Ag  0.8721  0.8721  0.3838